Entry 1:
A plane-wave DFT calculation with GGA-PBEsol was carried out for a relaxed Sm6Ti4Al43 crystal.

extended XYZ file:
```
106
Lattice="11.0235 0.0000 0.0000 -5.5117 9.5466 0.0000 0.0000 0.0000 17.8532" Properties=species:S:1:pos:R:3 pbc="T T T"
Al -1.4218 7.1853 8.9266
Al 8.2533 0.0000 9.4451
Al 1.7151 0.0000 11.0086
Al 4.7052 8.1497 4.4633
Al 3.0406 2.2310 11.8622
Al 5.9235 5.7979 14.9177
Al -1.6368 5.6985 4.4633
Al -1.3851 2.3991 8.4081
Al 0.2417 8.1149 4.4633
Al -2.0593 8.0289 2.9356
Al 9.4105 0.0000 13.3899
Al -0.2417 8.1149 13.3899
Al 4.1266 7.1476 8.4081
Al 6.9336 2.3613 0.0000
Al 1.6368 5.6985 13.3899
Al 6.9336 2.3613 8.9266
Al 6.9069 4.2668 4.4633
Al 4.6542 8.0613 15.7713
Al 2.4711 7.3156 2.9356
Al 3.0406 2.2310 14.9177
Al 8.2533 0.0000 17.3347
Al 1.3851 2.3991 9.4451
Al 0.0000 6.3644 6.6758
Al 0.4118 3.7488 14.9177
Al 2.7702 0.0000 0.5185
Al -0.8576 1.4854 11.0086
Al -0.4118 3.7488 2.9356
Al 0.0000 6.3644 11.1774
Al 5.9235 5.7979 11.8622
Al 7.1486 3.8482 13.3899
Al 7.5711 1.5177 14.9177
Al -4.1266 7.1476 9.4451
Al 5.5117 3.1822 11.1774
Al -2.4711 7.3156 11.8622
Al 0.8576 1.4854 2.0820
Al 0.8576 1.4854 6.8446
Al 5.5117 4.8240 8.9266
Al 3.8749 3.8482 4.4633
Al 4.1266 7.1476 0.5185
Al -1.4218 7.1853 0.0000
Al 4.0899 2.3613 8.9266
Al 3.4524 1.5177 5.9911
Al 5.7534 1.4317 4.4633
Al 2.7702 0.0000 8.4081
Al 1.3951 5.2799 4.4633
Al 0.0000 6.3644 2.2508
Al 9.3083 0.0000 2.0820
Al 2.0593 8.0289 14.9177
Al -1.3951 5.2799 13.3899
Al -4.7052 8.1497 13.3899
Al -2.0593 8.0289 5.9911
Al 5.5117 3.1822 15.6025
Al 7.9829 2.2310 2.9356
Al 5.0999 5.7979 2.9356
Al 9.3083 0.0000 6.8446
Al -4.6542 8.0613 2.0820
Al 0.0000 4.7226 8.9266
Al 1.4218 7.1853 8.9266
Al 0.0000 6.3644 15.6025
Al 2.4711 7.3156 5.9911
Al 1.4218 7.1853 0.0000
Al -0.4118 3.7488 5.9911
Al 4.6542 8.0613 11.0086
Al 2.0593 8.0289 11.8622
Al 0.4118 3.7488 11.8622
Al 4.1166 4.2668 13.3899
Al 0.0000 4.7226 0.0000
Al -4.6542 8.0613 6.8446
Al 5.0999 5.7979 5.9911
Al 7.5711 1.5177 11.8622
Al 5.5117 3.1822 6.6758
Al 7.9829 2.2310 5.9911
Al -0.8576 1.4854 15.7713
Al 3.4524 1.5177 2.9356
Al -4.1266 7.1476 17.3347
Al 5.5117 3.1822 2.2508
Al -0.8065 1.3969 4.4633
Al 1.3851 2.3991 17.3347
Al 1.7151 0.0000 15.7713
Al 5.2701 1.4317 13.3899
Al 1.6130 0.0000 4.4633
Al -2.4711 7.3156 14.9177
Al 0.8065 1.3969 13.3899
Al 5.5117 4.8240 0.0000
Al 4.0899 2.3613 0.0000
Al -1.3851 2.3991 0.5185
Sm 5.8286 0.0000 1.7120
Sm 2.9143 5.0477 10.6386
Sm -2.9143 5.0477 7.2146
Sm 5.1949 0.0000 16.1412
Sm -2.5974 4.4989 16.1412
Sm -2.5974 4.4989 10.6386
Sm 5.1949 0.0000 10.6386
Sm 2.9143 5.0477 16.1412
Sm 2.5974 4.4989 1.7120
Sm -2.9143 5.0477 1.7120
Sm 2.5974 4.4989 7.2146
Sm 5.8286 0.0000 7.2146
Ti 0.0000 0.0000 0.0000
Ti 0.0000 0.0000 8.9266
Ti -4.0150 6.9542 4.4633
Ti 2.9935 0.0000 13.3899
Ti 4.0150 6.9542 13.3899
Ti -1.4968 2.5925 13.3899
Ti 1.4968 2.5925 4.4633
Ti 8.0300 0.0000 4.4633
```

Summary:
SG: P6_3/mcm (193)

Entry 2:
A plane-wave DFT calculation with GGA-PBEsol was carried out for a relaxed SrNiP2 crystal.

extended XYZ file:
```
4
Lattice="4.0428 0.0000 0.0000 0.0000 4.2005 -0.0192 0.0000 -0.2037 4.6841" Properties=species:S:1:pos:R:3 pbc="T T T"
P 2.0214 2.9559 0.0921
P 0.0000 0.1229 0.2251
Sr 0.0000 2.2424 2.3884
Ni 2.0214 0.6741 4.2917
```

Summary:
SG: Pm (6)

Formation energy from the elements list, top to bottom, in eV per atom: -0.343 -0.615
Total moment list, top to bottom, in μB/f.u.: 0.00 0.00